Entry 1:
Below is a relaxed structure of Hf2TiZn2, with properties calculated at the PBE-GGA level.

Cell lengths 7.922, 7.922, 3.042 Å; angles 90.00, 90.00, 90.00 degrees
Fractional coordinates of all 10 atoms:
1 Hf 0.136 0.364 0.000
2 Hf 0.364 0.864 0.000
3 Hf 0.636 0.136 0.000
4 Hf 0.864 0.636 0.000
5 Ti 0.000 0.000 0.000
6 Ti 0.500 0.500 0.000
7 Zn 0.165 0.665 0.500
8 Zn 0.335 0.165 0.500
9 Zn 0.665 0.835 0.500
10 Zn 0.835 0.335 0.500

Calculated values
Energy (eV per atom): -5.89
Formation enthalpy at 0 K (eV/atom): 0.18
Energy above the most stable polymorph in this dataset (meV per atom): 226
Space-group type: P4/mbm (127)

***

Entry 2:
Below is a relaxed structure of Sm3Pu4Se8, with properties calculated at the PBE-GGA level.

Cell lengths 8.297, 8.297, 8.298 Å; angles 119.95, 119.95, 90.05 degrees
Fractional coordinates of all 15 atoms:
1 Sm 0.000 0.000 0.000
2 Sm 0.000 0.500 0.500
3 Sm 0.500 0.000 0.500
4 Pu 0.000 0.500 0.000
5 Pu 0.500 0.000 0.000
6 Pu 0.500 0.500 0.000
7 Pu 0.500 0.500 0.500
8 Se 0.248 0.248 0.501
9 Se 0.249 0.751 0.500
10 Se 0.251 0.251 0.000
11 Se 0.251 0.749 0.000
12 Se 0.749 0.251 0.000
13 Se 0.749 0.749 0.000
14 Se 0.751 0.249 0.500
15 Se 0.752 0.752 0.499

Calculated values
Formation energy (no corrections) (eV/atom): -1.6853
Energy (eV per atom): -8.31
Space-group type: C2/m (12)

***

Entry 3:
Below is a relaxed structure of AcTb8Nd6, with properties calculated at the PBE-GGA level.

Cell lengths 8.688, 8.688, 8.688 Å; angles 65.46, 65.46, 65.46 degrees
Fractional coordinates of all 15 atoms:
1 Ac 0.000 0.000 0.000
2 Tb 0.083 0.774 0.646
3 Tb 0.226 0.354 0.917
4 Tb 0.354 0.917 0.226
5 Tb 0.430 0.430 0.430
6 Tb 0.570 0.570 0.570
7 Tb 0.646 0.083 0.774
8 Tb 0.774 0.646 0.083
9 Tb 0.917 0.226 0.354
10 Nd 0.106 0.550 0.269
11 Nd 0.269 0.106 0.550
12 Nd 0.450 0.731 0.894
13 Nd 0.550 0.269 0.106
14 Nd 0.731 0.894 0.450
15 Nd 0.894 0.450 0.731

Calculated values
Energy (eV per atom): -4.49
Formation enthalpy at 0 K (eV/atom): 0.16
Energy above the most stable polymorph in this dataset (meV per atom): 0
Space-group type: R-3 (148)

***

What are the magnetization values for these records? In order: 1.439, 22.758, 0.000 μB per formula unit.